Entry 1:
Computed, not measured: CoAgRu4 after structural relaxation at the GGA-PBE level of DFT.

Total magnetic moment = 20.864 Bohr magnetons per cell
Total energy = -7.090 eV per atom
Energy of formation = 0.754 eV/atom

a = 7.1947 Å, b = 7.1947 Å, c = 7.1947 Å
α = 90.00°, β = 90.00°, γ = 90.00°
Last column: nearest neighbours and their distance in Å.
Space group F-43m (No. 216)
One atom of each set of equivalent atoms:
Co 0.0000 0.0000 0.0000 [4 per cell]  12 Ru 2.98, 4 Ag 3.12
Ag 0.2500 0.2500 0.2500 [4 per cell]  12 Ru 2.98, 4 Co 3.12
Ru 0.1251 0.1251 0.6251 [16 per cell]  6 Ru 2.54-2.55

=====

Entry 2:
Computed, not measured: SrDy4S5 after structural relaxation at the GGA-PBE level of DFT.

Total magnetic moment = 0.000 Bohr magnetons per cell
Uncorrected formation energy = -2000 meV per atom
Total energy = -6.073 eV per atom

a = 13.2169 Å, b = 3.9468 Å, c = 9.7386 Å
α = 90.00°, β = 119.59°, γ = 90.00°
Last column: nearest neighbours and their distance in Å.
Space group C2/m (No. 12)
One atom of each set of equivalent atoms:
Sr 0.0000 0.0000 0.0000 [2 per cell]  6 S 2.88-2.91
Dy 0.0956 0.5000 0.4025 [4 per cell]  6 S 2.75-2.84
Dy 0.1978 0.0000 0.7870 [4 per cell]  6 S 2.73-2.86
S 0.0000 0.0000 0.5000 [2 per cell]  6 Dy 2.73-2.75
S 0.1100 0.5000 0.8970 [4 per cell]  4 Dy 2.76-2.86, 2 Sr 2.91
S 0.2016 0.0000 0.3105 [4 per cell]  5 Dy 2.76-2.81, 1 Sr 2.88